1.
Compound: Ca10V3P3O24F2
Source: Alexandria
Functional: PBE+U
Structure: optimized geometry

a b c (Å): 9.741 9.741 6.929
angles (deg): 90.00 90.00 120.00
Sites, in units of the cell vectors:
F 0.000 0.000 0.000
P 0.029 0.620 0.500
O 0.602 0.133 0.000
Ca 0.667 0.333 0.744
O 0.081 0.731 0.320
O 0.467 0.595 0.500
O 0.650 0.919 0.320
Ca 0.230 0.980 0.500
O 0.648 0.150 0.500
O 0.850 0.498 0.500
Ca 0.001 0.754 0.000
O 0.405 0.872 0.500
O 0.177 0.486 0.000
Ca 0.753 0.999 0.000
F 0.000 0.000 0.500
O 0.329 0.088 0.197
O 0.081 0.731 0.680
P 0.591 0.971 0.500
Ca 0.333 0.667 0.750
O 0.650 0.919 0.680
O 0.759 0.671 0.197
O 0.912 0.241 0.197
V 0.634 0.606 0.000
O 0.912 0.241 0.803
Ca 0.667 0.333 0.256
O 0.329 0.088 0.803
O 0.128 0.533 0.500
Ca 0.246 0.247 0.000
O 0.530 0.398 0.000
Ca 0.751 0.770 0.500
O 0.867 0.470 0.000
V 0.394 0.028 0.000
O 0.502 0.352 0.500
V 0.972 0.366 0.000
O 0.759 0.671 0.803
O 0.514 0.691 0.000
Ca 0.020 0.249 0.500
O 0.269 0.350 0.320
Ca 0.333 0.667 0.250
P 0.380 0.409 0.500
O 0.309 0.823 0.000
O 0.269 0.350 0.680

Symmetry = P-6
Final energy = -7.166 eV per atom

---

2.
Compound: Ca10VP5O24F2
Source: Alexandria
Functional: PBE+U
Structure: optimized geometry

a b c (Å): 6.930 9.547 9.559
angles (deg): 60.45 90.00 90.00
Sites, in units of the cell vectors:
O 0.820 0.263 0.901
Ca 0.252 0.334 0.582
O 0.804 0.671 0.338
O 0.180 0.263 0.901
O 0.500 0.881 0.782
O 0.500 0.160 0.757
Ca 0.751 0.673 0.905
Ca 0.000 0.009 0.994
O 0.000 0.492 0.912
O 0.000 0.398 0.380
O 0.500 0.336 0.401
O 0.000 0.469 0.656
O 0.319 0.347 0.161
F 0.500 0.008 0.246
O 0.500 0.593 0.123
F 0.000 0.002 0.243
O 0.181 0.084 0.500
V 0.000 0.608 0.273
Ca 0.249 0.673 0.905
O 0.680 0.742 0.594
Ca 0.500 0.251 0.000
Ca 0.500 0.001 0.494
O 0.681 0.347 0.161
O 0.819 0.084 0.500
Ca 0.000 0.761 0.496
P 0.000 0.031 0.611
Ca 0.000 0.245 0.245
O 0.680 0.925 0.987
P 0.500 0.630 0.649
O 0.500 0.537 0.837
O 0.000 0.846 0.723
P 0.500 0.977 0.875
O 0.000 0.122 0.709
O 0.320 0.742 0.594
P 0.000 0.375 0.844
O 0.320 0.925 0.987
Ca 0.748 0.334 0.582
P 0.500 0.405 0.216
O 0.500 0.511 0.583
O 0.000 0.691 0.065
Ca 0.500 0.769 0.239
O 0.196 0.671 0.338

Symmetry = Pm
Final energy = -7.170 eV per atom

---

no.,magnetization (μB/atom)
1,0.000
2,0.000